Density functional theory data (PBE) for crystalline Ac2AgCO6 at its relaxed geometry.

Computed properties:
V   330 Å³/cell
ρ   6.74 Mg/m³
Formation energy from raw total energies   -1.87 eV/atom

POSCAR file:
```
Ac2AgCO6
1.0
6.740 0.000 0.000
0.000 4.609 0.000
-5.180 0.000 10.625
Ac Ag C O
4 2 2 12
Direct
0.243 0.018 0.249
0.243 0.482 0.749
0.757 0.518 0.251
0.757 0.982 0.751
0.500 0.000 0.000
0.500 0.500 0.500
0.000 0.000 0.500
0.000 0.500 0.000
0.091 0.222 0.506
0.091 0.278 0.006
0.169 0.548 0.318
0.169 0.952 0.818
0.405 0.735 0.627
0.405 0.765 0.127
0.595 0.235 0.873
0.595 0.265 0.373
0.831 0.048 0.182
0.831 0.452 0.682
0.909 0.722 0.994
0.909 0.778 0.494
```

Density functional theory data (PBE) for crystalline Dy2TcH6 at its relaxed geometry.

Computed properties:
Total DFT energy (no corrections)   -44.60 eV/f.u.
V   89 Å³/cell
ρ   8.00 Mg/m³

POSCAR file:
```
Dy2TcH6
1.0
0.000 3.545 3.545
3.545 0.000 3.545
3.545 3.545 0.000
Dy Tc H
2 1 6
Direct
0.250 0.250 0.250
0.750 0.750 0.750
0.000 0.000 0.000
0.252 0.252 0.748
0.252 0.748 0.252
0.252 0.748 0.748
0.748 0.252 0.252
0.748 0.252 0.748
0.748 0.748 0.252
```

Density functional theory data (PBE) for crystalline Si2Rh2W at its relaxed geometry.

Computed properties:
V   137 Å³/cell
ρ   10.79 Mg/m³
Formation energy from raw total energies   -0.44 eV/atom

POSCAR file:
```
Si2Rh2W
1.0
7.070 0.000 0.000
0.000 7.070 0.000
0.000 0.000 2.746
Si Rh W
4 4 2
Direct
0.151 0.349 0.000
0.349 0.849 0.000
0.651 0.151 0.000
0.849 0.651 0.000
0.148 0.648 0.500
0.352 0.148 0.500
0.648 0.852 0.500
0.852 0.352 0.500
0.000 0.000 0.000
0.500 0.500 0.000
```

Density functional theory data (PBE) for crystalline Np4Cu3O12 at its relaxed geometry.

Computed properties:
V   259 Å³/cell
ρ   8.52 Mg/m³
Formation energy from raw total energies   -2.24 eV/atom

POSCAR file:
```
Np4Cu3O12
1.0
-4.017 4.017 4.017
4.017 -4.017 4.017
4.017 4.017 -4.017
Np Cu O
4 3 12
Direct
0.000 0.000 0.500
0.000 0.500 0.000
0.500 0.000 0.000
0.500 0.500 0.500
0.000 0.500 0.500
0.500 0.000 0.500
0.500 0.500 0.000
0.137 0.314 0.823
0.177 0.490 0.314
0.177 0.863 0.686
0.314 0.177 0.490
0.314 0.823 0.137
0.490 0.314 0.177
0.510 0.686 0.823
0.686 0.177 0.863
0.686 0.823 0.510
0.823 0.137 0.314
0.823 0.510 0.686
0.863 0.686 0.177
```

Density functional theory data (PBE) for crystalline MnInTc2N at its relaxed geometry.

Computed properties:
V   68 Å³/cell
ρ   9.32 Mg/m³
Formation energy from raw total energies   -0.04 eV/atom

POSCAR file:
```
MnInTc2N
1.0
4.144 0.000 0.000
0.000 4.144 0.000
0.000 0.000 3.940
Mn In Tc N
1 1 2 1
Direct
0.000 0.000 0.000
0.500 0.500 0.000
0.000 0.500 0.500
0.500 0.000 0.500
0.000 0.000 0.500
```

Density functional theory data (PBE) for crystalline PaRuS at its relaxed geometry.

Computed properties:
V   124 Å³/cell
ρ   9.72 Mg/m³
Formation energy from raw total energies   -0.42 eV/atom

POSCAR file:
```
PaRuS
1.0
3.874 0.000 0.000
0.000 3.874 0.000
0.000 0.000 8.289
Pa Ru S
2 2 2
Direct
0.000 0.000 0.000
0.500 0.500 0.500
0.000 0.000 0.281
0.500 0.500 0.781
0.000 0.000 0.565
0.500 0.500 0.065
```

Density functional theory data (PBE) for crystalline UCoRu at its relaxed geometry.

Computed properties:
V   113 Å³/cell
ρ   11.65 Mg/m³
ΔH_f (0 K)   0.5494 eV per atom

POSCAR file:
```
UCoRu
1.0
3.046 0.000 0.000
0.000 3.046 0.000
0.000 0.000 12.232
U Co Ru
2 2 2
Direct
0.000 0.000 0.000
0.500 0.500 0.500
0.000 0.000 0.618
0.500 0.500 0.118
0.000 0.000 0.819
0.500 0.500 0.319
```

Density functional theory data (PBE) for crystalline Cs2TmSnSe4 at its relaxed geometry.

Computed properties:
V   696 Å³/cell
ρ   4.15 Mg/m³
Formation energy from raw total energies   -1.10 eV/atom

POSCAR file:
```
Cs2TmSnSe4
1.0
0.000 7.690 13.080
3.458 0.000 13.080
3.458 7.690 0.000
Cs Tm Sn Se
4 2 2 8
Direct
0.056 0.056 0.694
0.306 0.306 0.944
0.694 0.694 0.056
0.944 0.944 0.306
0.125 0.125 0.125
0.875 0.875 0.875
0.375 0.375 0.375
0.625 0.625 0.625
0.034 0.323 0.416
0.274 0.584 0.677
0.323 0.034 0.726
0.416 0.726 0.034
0.584 0.274 0.966
0.677 0.966 0.274
0.726 0.416 0.323
0.966 0.677 0.584
```

Density functional theory data (PBE) for crystalline Tl3Cd2Hg9 at its relaxed geometry.

Computed properties:
V   400 Å³/cell
ρ   10.98 Mg/m³
ΔH_f (0 K)   0.0272 eV per atom

POSCAR file:
```
Tl3Cd2Hg9
1.0
-1.707 5.566 10.523
1.707 -5.566 10.523
1.707 5.566 -10.523
Tl Cd Hg
3 2 9
Direct
0.000 0.000 0.000
0.357 0.357 0.000
0.643 0.643 0.000
0.272 0.500 0.772
0.728 0.500 0.228
0.088 0.882 0.206
0.101 0.736 0.366
0.324 0.118 0.206
0.370 0.736 0.634
0.500 0.000 0.500
0.630 0.264 0.366
0.676 0.882 0.794
0.899 0.264 0.634
0.912 0.118 0.794
```

Density functional theory data (PBE) for crystalline PmZn6Ru2 at its relaxed geometry.

Computed properties:
V   155 Å³/cell
ρ   7.92 Mg/m³
ΔH_f (0 K)   -0.0373 eV per atom

POSCAR file:
```
PmZn6Ru2
1.0
-2.195 3.052 5.788
2.195 -3.052 5.788
2.195 3.052 -5.788
Pm Zn Ru
1 6 2
Direct
0.000 0.000 0.000
0.070 0.291 0.779
0.309 0.500 0.809
0.487 0.709 0.779
0.513 0.291 0.221
0.691 0.500 0.191
0.930 0.709 0.221
0.388 0.888 0.500
0.612 0.112 0.500
```

Density functional theory data (PBE) for crystalline Pa3AlTc at its relaxed geometry.

Computed properties:
V   445 Å³/cell
ρ   12.22 Mg/m³
ΔH_f (0 K)   -0.0643 eV per atom

POSCAR file:
```
Pa3AlTc
1.0
6.908 0.000 0.000
0.000 6.023 0.000
-0.617 0.000 10.690
Pa Al Tc
12 4 4
Direct
0.069 0.237 0.054
0.069 0.763 0.554
0.219 0.408 0.809
0.219 0.592 0.309
0.329 0.192 0.564
0.329 0.808 0.064
0.671 0.192 0.936
0.671 0.808 0.436
0.781 0.408 0.691
0.781 0.592 0.191
0.931 0.237 0.446
0.931 0.763 0.946
0.303 0.088 0.295
0.303 0.912 0.795
0.697 0.088 0.205
0.697 0.912 0.705
0.431 0.371 0.114
0.431 0.629 0.614
0.569 0.371 0.386
0.569 0.629 0.886
```

Density functional theory data (PBE) for crystalline ZnInBi2Br at its relaxed geometry.

Computed properties:
V   177 Å³/cell
ρ   6.36 Mg/m³
Formation energy from raw total energies   0.47 eV/atom

POSCAR file:
```
ZnInBi2Br
1.0
5.884 0.000 0.000
0.000 5.884 0.000
0.000 0.000 5.117
Zn In Bi Br
1 1 2 1
Direct
0.000 0.000 0.000
0.000 0.000 0.500
0.000 0.500 0.500
0.500 0.000 0.500
0.500 0.500 0.000
```